Record 1
First-principles (PBE) data for a geometry-optimized MgPb2Br structure, as listed in Alexandria.

Unit cell a=3.4420 b=5.2527 c=6.3924 alpha=90.00 beta=90.00 gamma=90.00
Last column: nearest neighbours and their distance in Å.
Positions (direct):
1 Mg 0.0000 0.0000 0.0000  2 Br 3.20, 2 Mg 3.44, 8 Pb 3.51
2 Pb 0.5000 0.5000 0.2449  4 Pb 3.13-3.44
3 Pb 0.5000 0.5000 0.7551  4 Pb 3.13-3.44
4 Br 0.0000 0.0000 0.5000  2 Mg 3.20, 2 Br 3.44, 8 Pb 3.54

Formation energy without anion corrections = -137 meV per atom
Offset from the most stable computed form = 210.4 meV/atom
DOS at the Fermi energy = 1.91 states/eV per cell
Energy = -2.808 eV per atom

***

Record 2
First-principles (PBE) data for a geometry-optimized ScCd2Os structure, as listed in Alexandria.

Unit cell a=3.9562 b=3.9562 c=20.7671 alpha=90.00 beta=90.00 gamma=90.00
Last column: nearest neighbours and their distance in Å.
Positions (direct):
1 Sc 0.0000 0.0000 0.0000  4 Os 2.80, 4 Cd 2.97
2 Sc 0.0000 0.5000 0.2500  4 Os 2.80, 4 Cd 2.97
3 Sc 0.5000 0.0000 0.7500  4 Os 2.80, 4 Cd 2.97
4 Sc 0.5000 0.5000 0.5000  4 Os 2.80, 4 Cd 2.97
5 Cd 0.2350 0.2500 0.6250  4 Cd 2.71-2.88, 2 Os 2.93, 2 Sc 2.97
6 Cd 0.2500 0.7350 0.8750  4 Cd 2.71-2.88, 2 Os 2.93, 2 Sc 2.97
7 Cd 0.2500 0.7650 0.3750  4 Cd 2.71-2.88, 2 Os 2.93, 2 Sc 2.97
8 Cd 0.2650 0.2500 0.1250  4 Cd 2.71-2.88, 2 Os 2.93, 2 Sc 2.97
9 Cd 0.7350 0.7500 0.1250  4 Cd 2.71-2.88, 2 Os 2.93, 2 Sc 2.97
10 Cd 0.7500 0.2350 0.3750  4 Cd 2.71-2.88, 2 Os 2.93, 2 Sc 2.97
11 Cd 0.7500 0.2650 0.8750  4 Cd 2.71-2.88, 2 Os 2.93, 2 Sc 2.97
12 Cd 0.7650 0.7500 0.6250  4 Cd 2.71-2.88, 2 Os 2.93, 2 Sc 2.97
13 Os 0.0000 0.0000 0.5000  4 Sc 2.80, 4 Cd 2.93
14 Os 0.0000 0.5000 0.7500  4 Sc 2.80, 4 Cd 2.93
15 Os 0.5000 0.0000 0.2500  4 Sc 2.80, 4 Cd 2.93
16 Os 0.5000 0.5000 0.0000  4 Sc 2.80, 4 Cd 2.93

Offset from the most stable computed form = 377.6 meV/atom
DOS at the Fermi energy = 10.31 states/eV per cell
DFT formation energy = 0.354 eV/atom
Energy = -4.494 eV per atom

***

Record 3
First-principles (PBE) data for a geometry-optimized Cs2BaHg structure, as listed in Alexandria.

Unit cell a=12.9224 b=12.9224 c=7.0484 alpha=90.00 beta=90.00 gamma=90.00
Last column: nearest neighbours and their distance in Å.
Positions (direct):
1 Cs 0.1416 0.2500 0.1250  2 Hg 3.82
2 Cs 0.2500 0.6416 0.3750  2 Hg 3.82
3 Cs 0.2500 0.8584 0.8750  2 Hg 3.82
4 Cs 0.3584 0.2500 0.6250  2 Hg 3.82
5 Cs 0.6416 0.7500 0.6250  2 Hg 3.82
6 Cs 0.7500 0.1416 0.8750  2 Hg 3.82
7 Cs 0.7500 0.3584 0.3750  2 Hg 3.82
8 Cs 0.8584 0.7500 0.1250  2 Hg 3.82
9 Ba 0.0000 0.0000 0.5000  2 Hg 3.52
10 Ba 0.0000 0.5000 0.7500  2 Hg 3.52
11 Ba 0.5000 0.0000 0.2500  2 Hg 3.52
12 Ba 0.5000 0.5000 0.0000  2 Hg 3.52
13 Hg 0.0000 0.0000 0.0000  2 Ba 3.52, 4 Cs 3.82
14 Hg 0.0000 0.5000 0.2500  2 Ba 3.52, 4 Cs 3.82
15 Hg 0.5000 0.0000 0.7500  2 Ba 3.52, 4 Cs 3.82
16 Hg 0.5000 0.5000 0.5000  2 Ba 3.52, 4 Cs 3.82

Offset from the most stable computed form = 0.0 meV/atom
DOS at the Fermi energy = 16.46 states/eV per cell
DFT formation energy = 0.008 eV/atom
Energy = -0.975 eV per atom

***

Record 4
First-principles (PBE) data for a geometry-optimized Ac7PdPb4 structure, as listed in Alexandria.

Unit cell a=9.0126 b=9.0126 c=12.1321 alpha=124.94 beta=124.94 gamma=37.89
Last column: nearest neighbours and their distance in Å.
Positions (direct):
1 Ac 0.0000 0.0000 0.0000  2 Pd 2.93
2 Ac 0.1426 0.1426 0.5588  5 Pb 3.46-3.59
3 Ac 0.2897 0.2897 0.1360  4 Pb 3.35-3.57
4 Ac 0.4213 0.4213 0.7080  1 Pd 2.93
5 Ac 0.5787 0.5787 0.2920  1 Pd 2.93
6 Ac 0.7103 0.7103 0.8640  4 Pb 3.35-3.57
7 Ac 0.8574 0.8574 0.4412  5 Pb 3.46-3.59
8 Pd 0.5000 0.5000 0.0000  4 Ac 2.93
9 Pb 0.0771 0.0771 0.7815  8 Ac 3.46-3.68
10 Pb 0.2227 0.2227 0.3447  8 Ac 3.35-3.62
11 Pb 0.7773 0.7773 0.6553  8 Ac 3.35-3.62
12 Pb 0.9229 0.9229 0.2185  8 Ac 3.46-3.68

DOS at the Fermi energy = 10.08 states/eV per cell
DFT formation energy = -0.352 eV/atom
Energy = -4.418 eV per atom

***

Record 5
First-principles (PBE) data for a geometry-optimized NdDy2Pb structure, as listed in Alexandria.

Unit cell a=4.9187 b=4.9187 c=4.8801 alpha=90.00 beta=90.00 gamma=90.00
Last column: nearest neighbours and their distance in Å.
Positions (direct):
1 Nd 0.0000 0.0000 0.0000  8 Dy 3.46, 4 Pb 3.48
2 Dy 0.0000 0.5000 0.5000  4 Pb 3.46, 4 Nd 3.46, 4 Dy 3.48
3 Dy 0.5000 0.0000 0.5000  4 Pb 3.46, 4 Nd 3.46, 4 Dy 3.48
4 Pb 0.5000 0.5000 0.0000  8 Dy 3.46, 4 Nd 3.48

Offset from the most stable computed form = 10.7 meV/atom
DOS at the Fermi energy = 5.83 states/eV per cell
DFT formation energy = -0.294 eV/atom
Energy = -4.714 eV per atom

***

Record 6
First-principles (PBE) data for a geometry-optimized PdPt2Cl8 structure, as listed in Alexandria.

Unit cell a=8.7302 b=8.7302 c=4.8010 alpha=94.86 beta=94.86 gamma=65.80
Last column: nearest neighbours and their distance in Å.
Positions (direct):
1 Pd 0.0000 0.0000 0.0000  4 Cl 2.31
2 Pt 0.2367 0.2367 0.2378  5 Cl 2.23-2.46
3 Pt 0.7633 0.7633 0.7622  5 Cl 2.23-2.46
4 Cl 0.0567 0.7336 0.8003  1 Pd 2.31, 1 Pt 2.46
5 Cl 0.2169 0.2169 0.7311  2 Pt 2.42
6 Cl 0.2664 0.9433 0.1997  1 Pd 2.31, 1 Pt 2.46
7 Cl 0.3895 0.3895 0.2822  1 Pt 2.23
8 Cl 0.6105 0.6105 0.7178  1 Pt 2.23
9 Cl 0.7336 0.0567 0.8003  1 Pd 2.31, 1 Pt 2.46
10 Cl 0.7831 0.7831 0.2689  2 Pt 2.42
11 Cl 0.9433 0.2664 0.1997  1 Pd 2.31, 1 Pt 2.46

Formation energy without anion corrections = -189 meV per atom
DOS at the Fermi energy = 4.45 states/eV per cell
Energy = -3.102 eV per atom

***

Record 7
First-principles (PBE) data for a geometry-optimized Zn2NiMo structure, as listed in Alexandria.

Unit cell a=2.6635 b=4.5729 c=9.1363 alpha=90.00 beta=90.00 gamma=90.00
Last column: nearest neighbours and their distance in Å.
Positions (direct):
1 Zn 0.0000 0.0000 0.0000  4 Ni 2.65, 4 Zn 2.66-2.70, 2 Mo 2.79
2 Zn 0.0000 0.5000 0.2427  2 Ni 2.50, 4 Mo 2.66, 4 Zn 2.66-2.70
3 Zn 0.5000 0.0000 0.7427  2 Ni 2.50, 4 Mo 2.66, 4 Zn 2.66-2.70
4 Zn 0.5000 0.5000 0.5000  4 Ni 2.65, 4 Zn 2.66-2.70, 2 Mo 2.79
5 Ni 0.0000 0.0000 0.5106  6 Zn 2.50-2.65, 2 Mo 2.58, 2 Ni 2.66
6 Ni 0.5000 0.5000 0.0106  6 Zn 2.50-2.65, 2 Mo 2.58, 2 Ni 2.66
7 Mo 0.0000 0.5000 0.7689  2 Ni 2.58, 6 Zn 2.66-2.79, 2 Mo 2.66
8 Mo 0.5000 0.0000 0.2689  2 Ni 2.58, 6 Zn 2.66-2.79, 2 Mo 2.66

Offset from the most stable computed form = 175.5 meV/atom
DOS at the Fermi energy = 7.49 states/eV per cell
DFT formation energy = 0.119 eV/atom
Energy = -4.671 eV per atom

***

Record 8
First-principles (PBE) data for a geometry-optimized Ru5Br4 structure, as listed in Alexandria.

Unit cell a=7.9588 b=7.9588 c=5.6067 alpha=90.00 beta=90.00 gamma=120.00
Last column: nearest neighbours and their distance in Å.
Positions (direct):
1 Ru 0.0000 0.3607 0.2500  1 Br 2.35
2 Ru 0.0000 0.6393 0.7500  1 Br 2.35
3 Ru 0.3333 0.6667 0.0000  8 Ru 2.80-2.91, 6 Br 2.96
4 Ru 0.3333 0.6667 0.5000  8 Ru 2.80-2.91, 6 Br 2.96
5 Ru 0.3607 0.0000 0.2500  1 Br 2.35
6 Ru 0.3607 0.3607 0.7500  1 Br 2.35
7 Ru 0.6393 0.0000 0.7500  1 Br 2.35
8 Ru 0.6393 0.6393 0.2500  1 Br 2.35
9 Ru 0.6667 0.3333 0.0000  8 Ru 2.80-2.91, 6 Br 2.96
10 Ru 0.6667 0.3333 0.5000  8 Ru 2.80-2.91, 6 Br 2.96
11 Br 0.0000 0.0000 0.0000  8 Br 2.80-3.08
12 Br 0.0000 0.0000 0.5000  8 Br 2.80-3.08
13 Br 0.0000 0.3440 0.7500  1 Ru 2.35
14 Br 0.0000 0.6560 0.2500  1 Ru 2.35
15 Br 0.3440 0.0000 0.7500  1 Ru 2.35
16 Br 0.3440 0.3440 0.2500  1 Ru 2.35
17 Br 0.6560 0.0000 0.2500  1 Ru 2.35
18 Br 0.6560 0.6560 0.7500  1 Ru 2.35

Formation energy without anion corrections = 1116 meV per atom
Offset from the most stable computed form = 390.7 meV/atom
DOS at the Fermi energy = 20.05 states/eV per cell
Energy = -4.781 eV per atom

***

Record 9
First-principles (PBE) data for a geometry-optimized YScCoCu structure, as listed in Alexandria.

Unit cell a=6.6183 b=6.6183 c=6.6183 alpha=90.00 beta=90.00 gamma=90.00
Last column: nearest neighbours and their distance in Å.
Positions (direct):
1 Y 0.0000 0.0000 0.0000  4 Co 2.87, 4 Cu 2.87
2 Y 0.0000 0.5000 0.5000  4 Co 2.87, 4 Cu 2.87
3 Y 0.5000 0.0000 0.5000  4 Co 2.87, 4 Cu 2.87
4 Y 0.5000 0.5000 0.0000  4 Co 2.87, 4 Cu 2.87
5 Sc 0.0000 0.0000 0.5000  4 Cu 2.87, 4 Co 2.87
6 Sc 0.0000 0.5000 0.0000  4 Cu 2.87, 4 Co 2.87
7 Sc 0.5000 0.0000 0.0000  4 Cu 2.87, 4 Co 2.87
8 Sc 0.5000 0.5000 0.5000  4 Cu 2.87, 4 Co 2.87
9 Co 0.2500 0.2500 0.7500  4 Sc 2.87, 4 Y 2.87
10 Co 0.2500 0.7500 0.2500  4 Sc 2.87, 4 Y 2.87
11 Co 0.7500 0.2500 0.2500  4 Sc 2.87, 4 Y 2.87
12 Co 0.7500 0.7500 0.7500  4 Sc 2.87, 4 Y 2.87
13 Cu 0.2500 0.2500 0.2500  4 Sc 2.87, 4 Y 2.87
14 Cu 0.2500 0.7500 0.7500  4 Sc 2.87, 4 Y 2.87
15 Cu 0.7500 0.2500 0.7500  4 Sc 2.87, 4 Y 2.87
16 Cu 0.7500 0.7500 0.2500  4 Sc 2.87, 4 Y 2.87

DOS at the Fermi energy = 15.73 states/eV per cell
DFT formation energy = -0.209 eV/atom
Energy = -6.209 eV per atom

***

Record 10
First-principles (PBE) data for a geometry-optimized SbPdSe2N structure, as listed in Alexandria.

Unit cell a=5.1971 b=5.1971 c=3.7556 alpha=90.00 beta=90.00 gamma=90.00
Last column: nearest neighbours and their distance in Å.
Positions (direct):
1 Sb 0.0000 0.0000 0.0000  8 Se 3.21
2 Pd 0.5000 0.5000 0.5000  2 N 1.88
3 Se 0.0000 0.5000 0.5000  2 Pd 2.60
4 Se 0.5000 0.0000 0.5000  2 Pd 2.60
5 N 0.5000 0.5000 0.0000  2 Pd 1.88

Formation energy without anion corrections = 590 meV per atom
Offset from the most stable computed form = 0.0 meV/atom
DOS at the Fermi energy = 2.15 states/eV per cell
Energy = -4.332 eV per atom

***

Record 11
First-principles (PBE) data for a geometry-optimized Nd3Zn2Ga4 structure, as listed in Alexandria.

Unit cell a=5.9278 b=5.9278 c=8.6348 alpha=106.55 beta=106.55 gamma=44.09
Last column: nearest neighbours and their distance in Å.
Positions (direct):
1 Nd 0.0000 0.0000 0.0000  8 Ga 3.10-3.37, 4 Zn 3.21
2 Nd 0.3310 0.3310 0.3328  8 Ga 3.11-3.34, 4 Zn 3.21-3.25
3 Nd 0.6690 0.6690 0.6672  8 Ga 3.11-3.34, 4 Zn 3.21-3.25
4 Zn 0.3941 0.3941 0.7239  3 Ga 2.57-2.59
5 Zn 0.6059 0.6059 0.2761  3 Ga 2.57-2.59
6 Ga 0.0657 0.0657 0.4012  1 Ga 2.55, 2 Zn 2.57
7 Ga 0.2958 0.2958 0.9611  1 Zn 2.59, 2 Ga 2.61
8 Ga 0.7042 0.7042 0.0389  1 Zn 2.59, 2 Ga 2.61
9 Ga 0.9343 0.9343 0.5988  1 Ga 2.55, 2 Zn 2.57

DOS at the Fermi energy = 4.01 states/eV per cell
DFT formation energy = -0.588 eV/atom
Energy = -3.806 eV per atom

***

Record 12
First-principles (PBE) data for a geometry-optimized RbNbFeTePd structure, as listed in Alexandria.

Unit cell a=4.1969 b=4.1969 c=25.2472 alpha=90.00 beta=90.00 gamma=120.00
Last column: nearest neighbours and their distance in Å.
Positions (direct):
1 Rb 0.0000 0.0000 0.0000  3 Pd 3.52, 3 Te 3.72, 1 Nb 3.86
2 Rb 0.3333 0.6667 0.6667  3 Pd 3.52, 3 Te 3.72, 1 Nb 3.86
3 Rb 0.6667 0.3333 0.3333  3 Pd 3.52, 3 Te 3.72, 1 Nb 3.86
4 Nb 0.0000 0.0000 0.1528  3 Fe 2.43
5 Nb 0.3333 0.6667 0.8194  3 Fe 2.43
6 Nb 0.6667 0.3333 0.4861  3 Fe 2.43
7 Fe 0.0000 0.0000 0.8287  3 Nb 2.43
8 Fe 0.3333 0.6667 0.4954  3 Nb 2.43
9 Fe 0.6667 0.3333 0.1621  3 Nb 2.43
10 Te 0.0000 0.0000 0.5551  3 Fe 2.85, 3 Nb 2.98, 1 Pd 3.05
11 Te 0.3333 0.6667 0.2218  3 Fe 2.85, 3 Nb 2.98, 1 Pd 3.05
12 Te 0.6667 0.3333 0.8884  3 Fe 2.85, 3 Nb 2.98, 1 Pd 3.05
13 Pd 0.0000 0.0000 0.4342  3 Nb 2.75, 3 Fe 2.87, 1 Te 3.05
14 Pd 0.3333 0.6667 0.1009  3 Nb 2.75, 3 Fe 2.87, 1 Te 3.05
15 Pd 0.6667 0.3333 0.7676  3 Nb 2.75, 3 Fe 2.87, 1 Te 3.05

Formation energy without anion corrections = 6 meV per atom
Offset from the most stable computed form = 36.0 meV/atom
DOS at the Fermi energy = 0.23 states/eV per cell
Energy = -5.561 eV per atom